Entry 1:
A relaxed structure of Zr2ScTa, computed with GGA-PBEsol.

Symmetry: F-43m (216)
Fermi-level density of states, states/eV/cell: 6.7
Energy, eV per atom: -9.12

Geometry as CIF:
```
data_Zr2ScTa
_space_group_name_H-M_alt 'P 1'
_space_group_IT_number 1
_cell_length_a 4.883
_cell_length_b 4.883
_cell_length_c 4.883
_cell_angle_alpha 60.00
_cell_angle_beta 60.00
_cell_angle_gamma 60.00
loop_
_space_group_symop_operation_xyz
'x,y,z'
loop_
_atom_site_label
_atom_site_type_symbol
_atom_site_fract_x
_atom_site_fract_y
_atom_site_fract_z
Zr1 Zr 0.000 0.000 0.000
Zr2 Zr 0.250 0.250 0.250
Ta1 Ta 0.750 0.750 0.750
Sc1 Sc 0.500 0.500 0.500
```



Entry 2:
A relaxed structure of InPtBr2, computed with GGA-PBEsol.

Symmetry: Imm2 (44)
Fermi-level density of states, states/eV/cell: 3.2
Formation energy without anion corrections, eV per formula unit: -0.1

Geometry as CIF:
```
data_InPtBr2
_space_group_name_H-M_alt 'P 1'
_space_group_IT_number 1
_cell_length_a 3.444
_cell_length_b 4.059
_cell_length_c 7.544
_cell_angle_alpha 105.61
_cell_angle_beta 103.19
_cell_angle_gamma 90.00
loop_
_space_group_symop_operation_xyz
'x,y,z'
loop_
_atom_site_label
_atom_site_type_symbol
_atom_site_fract_x
_atom_site_fract_y
_atom_site_fract_z
Br1 Br 0.967 0.967 0.933
Br2 Br 0.746 0.246 0.492
Pt1 Pt 0.221 0.721 0.442
In1 In 0.566 0.566 0.132
```



Entry 3:
A relaxed structure of LiHg2Pb2, computed with GGA-PBEsol.

Symmetry: P4/mbm (127)
Fermi-level density of states, states/eV/cell: 4.1
Energy, eV per atom: -2.32

Geometry as CIF:
```
data_LiHg2Pb2
_space_group_name_H-M_alt 'P 1'
_space_group_IT_number 1
_cell_length_a 4.670
_cell_length_b 7.358
_cell_length_c 7.358
_cell_angle_alpha 90.00
_cell_angle_beta 90.00
_cell_angle_gamma 90.00
loop_
_space_group_symop_operation_xyz
'x,y,z'
loop_
_atom_site_label
_atom_site_type_symbol
_atom_site_fract_x
_atom_site_fract_y
_atom_site_fract_z
Li1 Li 0.000 0.500 0.500
Li2 Li 0.000 0.000 0.000
Hg1 Hg 0.000 0.142 0.358
Hg2 Hg 0.000 0.358 0.858
Hg3 Hg 0.000 0.642 0.142
Hg4 Hg 0.000 0.858 0.642
Pb1 Pb 0.500 0.671 0.829
Pb2 Pb 0.500 0.829 0.329
Pb3 Pb 0.500 0.329 0.171
Pb4 Pb 0.500 0.171 0.671
```



Entry 4:
A relaxed structure of Li3AlN, computed with GGA-PBEsol.

Symmetry: Pm-3m (221)
Fermi-level density of states, states/eV/cell: 2.1
Formation energy without anion corrections, eV per formula unit: -0.1

Geometry as CIF:
```
data_Li3AlN
_space_group_name_H-M_alt 'P 1'
_space_group_IT_number 1
_cell_length_a 3.978
_cell_length_b 3.978
_cell_length_c 3.978
_cell_angle_alpha 90.00
_cell_angle_beta 90.00
_cell_angle_gamma 90.00
loop_
_space_group_symop_operation_xyz
'x,y,z'
loop_
_atom_site_label
_atom_site_type_symbol
_atom_site_fract_x
_atom_site_fract_y
_atom_site_fract_z
N1 N 0.000 0.000 0.000
Al1 Al 0.500 0.500 0.500
Li1 Li 0.000 0.000 0.500
Li2 Li 0.500 0.000 0.000
Li3 Li 0.000 0.500 0.000
```



Entry 5:
A relaxed structure of Ti2GaNiHg, computed with GGA-PBEsol.

Symmetry: P4/mmm (123)
Fermi-level density of states, states/eV/cell: 5.0
Energy, eV per atom: -5.24

Geometry as CIF:
```
data_Ti2GaNiHg
_space_group_name_H-M_alt 'P 1'
_space_group_IT_number 1
_cell_length_a 4.374
_cell_length_b 4.508
_cell_length_c 4.508
_cell_angle_alpha 90.00
_cell_angle_beta 90.00
_cell_angle_gamma 90.00
loop_
_space_group_symop_operation_xyz
'x,y,z'
loop_
_atom_site_label
_atom_site_type_symbol
_atom_site_fract_x
_atom_site_fract_y
_atom_site_fract_z
Ti1 Ti 0.000 0.000 0.500
Ti2 Ti 0.000 0.500 0.000
Hg1 Hg 0.500 0.500 0.500
Ga1 Ga 0.500 0.000 0.000
Ni1 Ni 0.000 0.000 0.000
```



Entry 6:
A relaxed structure of KCaNi, computed with GGA-PBEsol.

Symmetry: F-43m (216)
Fermi-level density of states, states/eV/cell: 3.6
Energy, eV per atom: -2.08

Geometry as CIF:
```
data_KCaNi
_space_group_name_H-M_alt 'P 1'
_space_group_IT_number 1
_cell_length_a 4.935
_cell_length_b 4.935
_cell_length_c 4.935
_cell_angle_alpha 60.00
_cell_angle_beta 60.00
_cell_angle_gamma 60.00
loop_
_space_group_symop_operation_xyz
'x,y,z'
loop_
_atom_site_label
_atom_site_type_symbol
_atom_site_fract_x
_atom_site_fract_y
_atom_site_fract_z
Ca1 Ca 0.500 0.500 0.500
Ni1 Ni 0.000 0.000 0.000
K1 K 0.250 0.250 0.250
```



Entry 7:
A relaxed structure of ScMnIn3, computed with GGA-PBEsol.

Symmetry: Pm-3m (221)
Fermi-level density of states, states/eV/cell: 2.6
Energy, eV per atom: -4.80

Geometry as CIF:
```
data_ScMnIn3
_space_group_name_H-M_alt 'P 1'
_space_group_IT_number 1
_cell_length_a 4.896
_cell_length_b 4.896
_cell_length_c 4.896
_cell_angle_alpha 90.00
_cell_angle_beta 90.00
_cell_angle_gamma 90.00
loop_
_space_group_symop_operation_xyz
'x,y,z'
loop_
_atom_site_label
_atom_site_type_symbol
_atom_site_fract_x
_atom_site_fract_y
_atom_site_fract_z
Sc1 Sc 0.500 0.500 0.500
In1 In 0.500 0.000 0.000
In2 In 0.000 0.000 0.500
In3 In 0.000 0.500 0.000
Mn1 Mn 0.000 0.000 0.000
```



Entry 8:
A relaxed structure of CsMn2RuO, computed with GGA-PBEsol.

Symmetry: P4/mmm (123)
Fermi-level density of states, states/eV/cell: 4.2
Formation energy without anion corrections, eV per formula unit: 3.1

Geometry as CIF:
```
data_CsMn2RuO
_space_group_name_H-M_alt 'P 1'
_space_group_IT_number 1
_cell_length_a 3.911
_cell_length_b 3.911
_cell_length_c 5.391
_cell_angle_alpha 90.00
_cell_angle_beta 90.00
_cell_angle_gamma 90.00
loop_
_space_group_symop_operation_xyz
'x,y,z'
loop_
_atom_site_label
_atom_site_type_symbol
_atom_site_fract_x
_atom_site_fract_y
_atom_site_fract_z
Ru1 Ru 0.500 0.500 0.500
Mn1 Mn 0.000 0.500 0.000
Mn2 Mn 0.500 0.000 0.000
O1 O 0.000 0.000 0.000
Cs1 Cs 0.000 0.000 0.500
```



Entry 9:
A relaxed structure of TeIr2Br, computed with GGA-PBEsol.

Symmetry: Pmmm (47)
Fermi-level density of states, states/eV/cell: 4.3
Formation energy without anion corrections, eV per formula unit: 3.3

Geometry as CIF:
```
data_TeIr2Br
_space_group_name_H-M_alt 'P 1'
_space_group_IT_number 1
_cell_length_a 3.220
_cell_length_b 3.396
_cell_length_c 6.741
_cell_angle_alpha 90.00
_cell_angle_beta 90.00
_cell_angle_gamma 90.00
loop_
_space_group_symop_operation_xyz
'x,y,z'
loop_
_atom_site_label
_atom_site_type_symbol
_atom_site_fract_x
_atom_site_fract_y
_atom_site_fract_z
Br1 Br 0.500 0.500 0.500
Ir1 Ir 0.000 0.000 0.209
Ir2 Ir 0.000 0.000 0.791
Te1 Te 0.500 0.500 0.000
```



Entry 10:
A relaxed structure of Mg2BeIr2, computed with GGA-PBEsol.

Symmetry: P4/mbm (127)
Fermi-level density of states, states/eV/cell: 7.9
Energy, eV per atom: -5.73

Geometry as CIF:
```
data_Mg2BeIr2
_space_group_name_H-M_alt 'P 1'
_space_group_IT_number 1
_cell_length_a 4.196
_cell_length_b 5.968
_cell_length_c 5.968
_cell_angle_alpha 90.00
_cell_angle_beta 90.00
_cell_angle_gamma 90.00
loop_
_space_group_symop_operation_xyz
'x,y,z'
loop_
_atom_site_label
_atom_site_type_symbol
_atom_site_fract_x
_atom_site_fract_y
_atom_site_fract_z
Be1 Be 0.000 0.000 0.000
Be2 Be 0.000 0.500 0.500
Mg1 Mg 0.500 0.166 0.666
Mg2 Mg 0.500 0.834 0.334
Mg3 Mg 0.500 0.666 0.834
Mg4 Mg 0.500 0.334 0.166
Ir1 Ir 0.000 0.149 0.351
Ir2 Ir 0.000 0.649 0.149
Ir3 Ir 0.000 0.851 0.649
Ir4 Ir 0.000 0.351 0.851
```



Entry 11:
A relaxed structure of MgSiW2, computed with GGA-PBEsol.

Symmetry: P2/m (10)
Fermi-level density of states, states/eV/cell: 2.2
Formation energy without anion corrections, eV per formula unit: 1.1

Geometry as CIF:
```
data_MgSiW2
_space_group_name_H-M_alt 'P 1'
_space_group_IT_number 1
_cell_length_a 2.737
_cell_length_b 4.366
_cell_length_c 5.179
_cell_angle_alpha 90.00
_cell_angle_beta 98.32
_cell_angle_gamma 90.00
loop_
_space_group_symop_operation_xyz
'x,y,z'
loop_
_atom_site_label
_atom_site_type_symbol
_atom_site_fract_x
_atom_site_fract_y
_atom_site_fract_z
W1 W 0.798 0.000 0.752
W2 W 0.202 0.000 0.248
Mg1 Mg 0.500 0.500 0.000
Si1 Si 0.000 0.500 0.500
```



Entry 12:
A relaxed structure of Cd3Au, computed with GGA-PBEsol.

Symmetry: Cmcm (63)
Fermi-level density of states, states/eV/cell: 1.7
Energy, eV per atom: -1.98

Geometry as CIF:
```
data_Cd3Au
_space_group_name_H-M_alt 'P 1'
_space_group_IT_number 1
_cell_length_a 4.808
_cell_length_b 5.981
_cell_length_c 6.086
_cell_angle_alpha 60.57
_cell_angle_beta 90.00
_cell_angle_gamma 90.00
loop_
_space_group_symop_operation_xyz
'x,y,z'
loop_
_atom_site_label
_atom_site_type_symbol
_atom_site_fract_x
_atom_site_fract_y
_atom_site_fract_z
Au1 Au 0.750 0.590 0.820
Au2 Au 0.250 0.410 0.180
Cd1 Cd 0.250 0.907 0.677
Cd2 Cd 0.250 0.916 0.167
Cd3 Cd 0.250 0.417 0.677
Cd4 Cd 0.750 0.084 0.833
Cd5 Cd 0.750 0.093 0.323
Cd6 Cd 0.750 0.583 0.323
```



Entry 13:
A relaxed structure of Mg2ZrBr, computed with GGA-PBEsol.

Symmetry: I-4m2 (119)
Fermi-level density of states, states/eV/cell: 2.4
Formation energy without anion corrections, eV per formula unit: 0.2

Geometry as CIF:
```
data_Mg2ZrBr
_space_group_name_H-M_alt 'P 1'
_space_group_IT_number 1
_cell_length_a 4.357
_cell_length_b 4.357
_cell_length_c 5.482
_cell_angle_alpha 113.42
_cell_angle_beta 113.42
_cell_angle_gamma 90.00
loop_
_space_group_symop_operation_xyz
'x,y,z'
loop_
_atom_site_label
_atom_site_type_symbol
_atom_site_fract_x
_atom_site_fract_y
_atom_site_fract_z
Mg1 Mg 0.750 0.250 0.500
Mg2 Mg 0.000 0.000 0.000
Br1 Br 0.250 0.750 0.500
Zr1 Zr 0.500 0.500 0.000
```